(1)
Below is an optimized crystal structure of RbV2Pt, with properties calculated at the PBE level.

Cell lengths 4.6033, 4.6033, 4.6033 Å; angles 60.00, 60.00, 60.00 degrees
Fractional coordinates of all 4 atoms:
Pt: 0.5000 0.5000 0.5000
Rb: 0.0000 0.0000 0.0000
V: 0.2500 0.2500 0.2500
V: 0.7500 0.7500 0.7500

Results
- VASP energy (eV/atom) = -5.17
- volume (Å³ per atom) = 17.244
- N(E_F) (states/eV/atom) = 0.952
- magnetic moment (Bohr magnetons per cell) = 0.000
- energy relative to the elements (meV per atom) = 1146



(2)
Below is an optimized crystal structure of Ba2TlZnFe, with properties calculated at the PBE level.

Cell lengths 6.6409, 4.9869, 6.6409 Å; angles 90.00, 90.00, 90.00 degrees
Site moments in Bohr magnetons follow the coordinates.
Fractional coordinates of all 5 atoms:
Zn: 0.5000 0.5000 0.5000  -0.01
Tl: 0.0000 0.0000 0.0000  -0.09
Ba: 0.0000 0.0000 0.5000  -0.02
Ba: 0.5000 0.0000 0.0000  -0.04
Fe: 0.0000 0.5000 0.0000  2.87

Results
- VASP energy (eV/atom) = -2.69
- volume (Å³ per atom) = 43.987
- N(E_F) (states/eV/atom) = 0.930
- magnetic moment (Bohr magnetons per cell) = 2.554
- energy relative to the elements (meV per atom) = 505



Q: VASP energy of number 2 (Ba2TlZnFe)?
A: -2.69 eV/atom



Q: Which value of volume does entry 2 give?
A: 43.987 Å³ per atom



Copy entry 2 word for word.
Below is an optimized crystal structure of Ba2TlZnFe, with properties calculated at the PBE level.

Cell lengths 6.6409, 4.9869, 6.6409 Å; angles 90.00, 90.00, 90.00 degrees
Site moments in Bohr magnetons follow the coordinates.
Fractional coordinates of all 5 atoms:
Zn: 0.5000 0.5000 0.5000  -0.01
Tl: 0.0000 0.0000 0.0000  -0.09
Ba: 0.0000 0.0000 0.5000  -0.02
Ba: 0.5000 0.0000 0.0000  -0.04
Fe: 0.0000 0.5000 0.0000  2.87

Results
- VASP energy (eV/atom) = -2.69
- volume (Å³ per atom) = 43.987
- N(E_F) (states/eV/atom) = 0.930
- magnetic moment (Bohr magnetons per cell) = 2.554
- energy relative to the elements (meV per atom) = 505